A relaxed CdReP2S crystal, computed with PBE.

```
5
Lattice="-3.967 -2.018 0.866 1.878 -2.193 3.495 -1.298 3.900 3.145" Properties=species:S:1:pos:R:3 pbc="T T T"
Re 0.000 0.000 0.000
S -0.649 1.950 1.572
P 0.939 -1.096 1.748
P -1.983 -1.009 0.433
Cd -1.693 -0.155 3.753
```

Computed properties:
Its calculated density is 6.13 g/cm³. As for the energy: -25.99 eV for the cell shown. The polymorph energy (0 for the lowest one) comes out at 0.00 kJ per mole of atoms. The calculation puts the total magnetic moment at 0.00 Bohr magnetons per cell.


A relaxed Li2AlSe crystal, computed with PBE.

```
4
Lattice="-0.052 -1.937 5.411 -1.075 -4.833 2.918 3.461 -0.957 -0.309" Properties=species:S:1:pos:R:3 pbc="T T T"
Al 2.242 -5.567 5.548
Li 1.931 -7.431 7.842
Li 0.966 -2.355 2.339
Se 0.698 -3.964 4.319
```

Computed properties:
Its calculated density is 2.59 g/cm³. As for the energy: -13.17 eV for the cell shown. The polymorph energy (0 for the lowest one) comes out at 0.00 kJ per mole of atoms. The calculation puts the total magnetic moment at 0.00 Bohr magnetons per cell.


A relaxed PrTh2VN4 crystal, computed with PBE.

```
16
Lattice="-1.017 0.999 3.229 -5.219 -1.688 -3.050 1.384 -11.491 3.990" Properties=species:S:1:pos:R:3 pbc="T T T"
Pr 0.050 -8.823 2.745
Pr -4.902 -3.357 1.424
Th -3.447 -7.175 1.134
Th -1.962 -0.373 1.427
Th -1.405 -5.004 3.035
Th -2.889 -11.807 2.742
V -3.186 -8.890 3.676
V -1.665 -3.290 0.493
N -2.899 -2.122 -0.256
N -2.287 -7.280 3.461
N -1.953 -10.057 4.425
N -2.564 -4.900 0.708
N 0.692 -5.746 1.995
N 0.000 0.000 0.000
N -3.792 -9.620 1.782
N -1.059 -2.559 2.387
```

Computed properties:
Its calculated density is 9.08 g/cm³. As for the energy: -143.57 eV for the cell shown. The calculation puts the total magnetic moment at 0.00 Bohr magnetons per cell.


A relaxed InCo2Cu crystal, computed with PBE.

```
8
Lattice="3.688 0.000 0.000 0.000 3.688 0.000 1.844 1.844 8.986" Properties=species:S:1:pos:R:3 pbc="T T T"
Co 2.534 0.922 2.246
Co 1.154 2.766 2.246
Co 2.766 2.998 6.739
Co 4.610 4.378 6.739
Cu 1.844 1.844 0.000
Cu 1.844 3.688 4.493
In 0.000 0.000 0.000
In 3.688 1.844 4.493
```

Computed properties:
Its calculated density is 8.05 g/cm³. As for the energy: -38.20 eV for the cell shown. The calculation puts the total magnetic moment at 6.08 Bohr magnetons per cell. The formation energy comes out at 0.4864 eV/atom.


A relaxed Dy8Ge3SeS4 crystal, computed with PBE.

```
16
Lattice="8.089 0.000 0.000 0.000 8.053 -0.031 -4.044 -4.040 5.723" Properties=species:S:1:pos:R:3 pbc="T T T"
Dy -1.982 2.016 5.682
Dy 0.000 3.996 2.879
Dy 0.000 -0.006 2.854
Dy 1.982 2.016 5.682
Dy 2.063 1.996 0.009
Dy 4.044 4.018 2.837
Dy 4.044 0.017 2.813
Dy 6.026 1.996 0.009
Ge 4.044 4.026 -0.016
Ge 2.022 2.006 2.846
Ge -2.022 2.006 2.846
Se 0.000 4.026 -0.016
S 4.044 0.000 0.000
S 2.022 -2.020 2.861
S 0.000 0.000 0.000
S -2.022 -2.020 2.861
```

Computed properties:
Its calculated density is 7.71 g/cm³. As for the energy: -96.26 eV for the cell shown. The calculation puts the total magnetic moment at 0.00 Bohr magnetons per cell.


A relaxed Sr4HPb2 crystal, computed with PBE.

```
7
Lattice="5.053 0.000 0.000 0.000 5.053 0.000 -2.526 -2.526 9.298" Properties=species:S:1:pos:R:3 pbc="T T T"
Pb 2.526 2.526 2.458
Pb 0.000 0.000 6.840
Sr 2.526 2.526 5.930
Sr 0.000 0.000 3.368
Sr 0.000 2.526 0.000
Sr 2.526 0.000 0.000
H 0.000 0.000 0.000
```

Computed properties:
Its calculated density is 5.36 g/cm³. As for the energy: -20.99 eV for the cell shown. The calculation puts the total magnetic moment at 0.00 Bohr magnetons per cell.


A relaxed LiCo2H crystal, computed with PBE.

```
8
Lattice="5.075 0.000 0.000 0.000 5.075 0.000 2.537 2.537 3.560" Properties=species:S:1:pos:R:3 pbc="T T T"
H 2.537 2.537 0.000
H 2.537 5.075 1.780
Co 2.535 1.269 0.890
Co 2.539 3.806 0.890
Co 3.806 5.077 2.670
Co 6.344 5.073 2.670
Li 0.000 0.000 0.000
Li 5.075 2.537 1.780
```

Computed properties:
Its calculated density is 4.56 g/cm³. As for the energy: -36.82 eV for the cell shown. The polymorph energy (0 for the lowest one) comes out at 0.00 kJ per mole of atoms. The calculation puts the total magnetic moment at 5.30 Bohr magnetons per cell.


A relaxed Pu2MnBe4Si3 crystal, computed with PBE.

```
10
Lattice="3.847 0.000 0.000 0.000 3.847 0.000 0.000 0.000 9.584" Properties=species:S:1:pos:R:3 pbc="T T T"
Pu 1.923 0.000 2.421
Pu 0.000 1.923 7.163
Mn 1.923 1.923 4.792
Be 1.923 1.923 0.000
Be 0.000 0.000 0.000
Be 1.923 0.000 6.064
Be 0.000 1.923 3.519
Si 0.000 0.000 4.792
Si 1.923 0.000 8.310
Si 0.000 1.923 1.274
```

Computed properties:
Its calculated density is 7.77 g/cm³. As for the energy: -71.79 eV for the cell shown. The calculation puts the total magnetic moment at 8.18 Bohr magnetons per cell.


A relaxed UPa3N7 crystal, computed with PBE.

```
22
Lattice="-5.540 2.801 -2.294 0.297 -6.303 -1.995 -3.695 -2.163 6.282" Properties=species:S:1:pos:R:3 pbc="T T T"
U -1.847 -1.081 3.141
U -5.243 -3.502 -4.289
Pa -4.469 -2.832 0.997
Pa -2.622 -1.751 -2.144
Pa -3.841 0.905 0.353
Pa -5.097 -6.569 1.641
Pa -2.641 -4.929 3.649
Pa -6.296 -0.736 -1.656
N -5.294 -4.996 -0.017
N -1.970 0.310 -0.835
N -6.574 -2.626 -0.387
N -4.037 -4.017 5.226
N -2.364 -3.038 2.380
N -4.900 -1.647 -3.233
N -3.644 -0.669 2.010
N -6.968 -5.975 2.829
N -2.792 -3.466 -0.535
N -6.145 -2.199 2.529
N -4.326 -1.073 -0.614
N -4.611 -4.592 2.607
N -5.901 1.383 -0.694
N -3.037 -7.047 2.688
```

Computed properties:
Its calculated density is 10.90 g/cm³. As for the energy: -232.87 eV for the cell shown. The calculation puts the total magnetic moment at 0.00 Bohr magnetons per cell.


A relaxed InFePb2 crystal, computed with PBE.

```
8
Lattice="4.500 0.000 0.000 0.000 4.500 0.000 2.250 2.250 10.509" Properties=species:S:1:pos:R:3 pbc="T T T"
Pb 3.313 1.125 2.627
Pb 1.187 3.375 2.627
Pb 3.375 3.437 7.882
Pb 5.624 5.563 7.882
Fe 2.250 2.250 0.000
Fe 2.250 4.500 5.254
In 0.000 0.000 0.000
In 4.500 2.250 5.254
```

Computed properties:
Its calculated density is 9.13 g/cm³. As for the energy: -32.57 eV for the cell shown. The polymorph energy (0 for the lowest one) comes out at 29.79 kJ per mole of atoms. The calculation puts the total magnetic moment at 5.89 Bohr magnetons per cell. The formation energy comes out at 0.5832 eV/atom.


A relaxed CsHgO crystal, computed with PBE.

```
6
Lattice="5.894 0.000 0.000 0.000 5.604 0.000 -2.947 -2.802 6.578" Properties=species:S:1:pos:R:3 pbc="T T T"
Cs 0.000 2.802 4.258
Cs 2.947 0.000 2.320
Hg 1.603 2.802 0.000
Hg 4.291 2.802 0.000
O 2.947 0.000 4.998
O 0.000 2.802 1.580
```

Computed properties:
Its calculated density is 5.34 g/cm³. As for the energy: -16.20 eV for the cell shown. The calculation puts the total magnetic moment at 0.00 Bohr magnetons per cell.


A relaxed Pr2TlI2 crystal, computed with PBE.

```
5
Lattice="-3.304 -0.403 2.789 0.634 0.717 4.236 -3.675 11.942 0.753" Properties=species:S:1:pos:R:3 pbc="T T T"
Pr -2.246 2.188 4.417
Pr -4.099 10.068 3.360
Tl 0.000 0.000 0.000
I -1.821 4.061 1.811
I -4.524 8.195 5.967
```

Computed properties:
Its calculated density is 6.14 g/cm³. As for the energy: -19.78 eV for the cell shown. The polymorph energy (0 for the lowest one) comes out at 0.00 kJ per mole of atoms. The calculation puts the total magnetic moment at 0.00 Bohr magnetons per cell.